Material: SrScAlPt2
Method: DFT, PBE-GGA
State: relaxed

As for the size of the total moment: 0.000 μB/atom. As for the volume: 217.0 Å³/cell. Its energy relative to the elements is -493 kJ/mol of formula units.

The space group is I-4m2 (No. 119) and the conventional cell measures 4.2795, 4.2795 and 11.8490 Å, with angles of 90.00, 90.00 and 90.00 degrees. The distinct sites, in fractional coordinates, are Sr at (0.0000, 0.0000, 0.0000), Sc at (0.0000, 0.5000, 0.7500), Al at (0.0000, 0.5000, 0.2500) and Pt at (0.0000, 0.0000, 0.3827).